{"formula": "Ba6Hg5Ge", "functional": "GGA-PBE", "state": "relaxed", "delta_e_f_ev_per_atom": -0.52, "crystal_system": "orthorhombic", "density_g_cm3": 7.17, "e_tot_ev_per_atom": -1.99, "lattice": [[5.669, 0.024, -1.654], [-1.153, 7.380, -3.843], [-0.091, 0.535, 10.235]], "species": ["Hg", "Hg", "Hg", "Hg", "Hg", "Ba", "Ba", "Ba", "Ba", "Ba", "Ba", "Ge"], "fractional_positions": [[0.000, 0.500, 0.000], [0.327, 0.827, 0.654], [0.666, 0.666, 0.332], [0.673, 0.173, 0.346], [0.334, 0.334, 0.668], [0.838, 0.082, 0.676], [0.162, 0.918, 0.324], [0.162, 0.406, 0.324], [0.838, 0.594, 0.676], [0.500, 0.761, 0.000], [0.500, 0.239, 0.000], [0.000, 0.000, 0.000]]}

---

{"formula": "BaHgGe2", "functional": "GGA-PBE", "state": "relaxed", "delta_e_f_ev_per_atom": -0.38, "crystal_system": "orthorhombic", "density_g_cm3": 7.28, "e_tot_ev_per_atom": -3.25, "lattice": [[-0.725, 0.984, -4.699], [10.582, -4.749, -2.627], [-6.581, -13.643, -1.843]], "species": ["Hg", "Hg", "Hg", "Hg", "Hg", "Hg", "Hg", "Hg", "Ge", "Ge", "Ge", "Ge", "Ge", "Ge", "Ge", "Ge", "Ge", "Ge", "Ge", "Ge", "Ge", "Ge", "Ge", "Ge", "Ba", "Ba", "Ba", "Ba", "Ba", "Ba", "Ba", "Ba"], "fractional_positions": [[0.250, 0.436, 0.066], [0.250, 0.823, 0.279], [0.750, 0.323, 0.221], [0.750, 0.177, 0.721], [0.750, 0.564, 0.934], [0.750, 0.936, 0.434], [0.250, 0.064, 0.566], [0.250, 0.677, 0.779], [0.750, 0.782, 0.714], [0.750, 0.972, 0.968], [0.750, 0.531, 0.129], [0.250, 0.209, 0.115], [0.750, 0.791, 0.885], [0.250, 0.028, 0.032], [0.750, 0.709, 0.385], [0.750, 0.718, 0.214], [0.250, 0.282, 0.786], [0.250, 0.291, 0.615], [0.250, 0.218, 0.286], [0.750, 0.969, 0.629], [0.250, 0.031, 0.371], [0.250, 0.472, 0.532], [0.250, 0.469, 0.871], [0.750, 0.528, 0.468], [0.250, 0.744, 0.046], [0.250, 0.756, 0.546], [0.750, 0.483, 0.698], [0.750, 0.017, 0.198], [0.750, 0.244, 0.454], [0.250, 0.517, 0.302], [0.250, 0.983, 0.802], [0.750, 0.256, 0.954]]}

---

{"formula": "BaHg2Ge", "functional": "GGA-PBE", "state": "relaxed", "delta_e_f_ev_per_atom": -0.20, "crystal_system": "tetragonal", "density_g_cm3": 7.49, "e_tot_ev_per_atom": -1.98, "lattice": [[-3.926, 2.056, -2.814], [-3.044, -4.086, 1.262], [-6.664, 3.811, 7.186]], "species": ["Ba", "Ba", "Hg", "Hg", "Hg", "Hg", "Ge", "Ge"], "fractional_positions": [[0.750, 0.250, 0.500], [0.000, 0.000, 0.000], [0.502, 0.125, 0.250], [0.375, 0.498, 0.750], [0.248, 0.625, 0.250], [0.875, 0.752, 0.750], [0.250, 0.750, 0.500], [0.500, 0.500, 0.000]]}